A plane-wave DFT calculation with PBE+U was carried out for a geometry-optimized Li2Ni5F12 structure.

a b c (Å): 5.847 6.053 7.149
angles (deg): 106.59 90.00 118.88
Site moments in Bohr magnetons follow the coordinates.
Fractional coordinates of all 19 atoms:
Li 0.765 0.000 0.000  0.00
Li 0.235 0.000 0.000  0.00
Ni 0.338 0.677 0.637  1.85
Ni 0.260 0.520 0.030  1.83
Ni 0.000 0.000 0.500  1.84
Ni 0.740 0.480 0.970  1.83
Ni 0.662 0.323 0.363  1.85
F 0.934 0.868 0.156  0.05
F 0.079 0.619 0.854  0.06
F 0.540 0.619 0.854  0.06
F 0.097 0.732 0.493  0.06
F 0.635 0.732 0.493  0.06
F 0.534 0.068 0.828  0.04
F 0.466 0.932 0.172  0.04
F 0.903 0.268 0.507  0.06
F 0.365 0.268 0.507  0.06
F 0.921 0.381 0.146  0.06
F 0.460 0.381 0.146  0.06
F 0.066 0.132 0.844  0.05

## Properties
DOS(E_F), states/eV/atom: 0.000
E_tot, Ha/atom: -0.1570
Space group: C2/m, No. 12